(1)
Material: Mn2Fe
Method: DFT, SCAN
State: single point on PBEsol structure

It has space group P-3m1 (No. 164), with a = 2.4319 Å, b = 2.4319 Å, c = 5.9724 Å, α = 90.00°, β = 90.00° and γ = 120.00°. The asymmetric unit holds Mn at (0.3333, 0.6667, 0.3341) and Fe at (0.0000, 0.0000, 0.0000).

The density of states at the Fermi level comes out at 3.17 states/eV/cell. The value obtained for the total energy is -53.92 eV/cell. The formation energy comes out at 0.2408 eV/atom.



(2)
Material: Mn2Fe
Method: DFT, SCAN
State: single point on PBEsol structure

It has space group Cmcm (No. 63), with a = 3.443 Å, b = 10.310 Å, c = 3.440 Å, α = 90.00°, β = 90.00° and γ = 90.00°. The asymmetric unit holds Mn at (0.000, 0.082, 0.250), Mn at (0.000, 0.250, 0.750) and Fe at (0.000, 0.418, 0.250).

The density of states at the Fermi level comes out at 10.72 states/eV/cell. The value obtained for the total energy is -217.06 eV/cell. The formation energy comes out at 0.1247 eV/atom.